1) This record from the Alexandria database describes crystalline LiCd2Mo at its relaxed geometry. The functional is GGA-PBE.

The magnetic moment is 3.41 μB per cell.

It has space group I-4m2 (No. 119), with a = 4.1644 Å, b = 4.1644 Å, c = 8.4341 Å, α = 90.00°, β = 90.00° and γ = 90.00°. The asymmetric unit holds Li at (0.0000, 0.0000, 0.0000), Cd at (0.0000, 0.0000, 0.5000), Cd at (0.0000, 0.5000, 0.2500) and Mo at (0.0000, 0.5000, 0.7500).

2) This record from the Alexandria database describes crystalline LiCd2Mo at its relaxed geometry. The functional is GGA-PBE.

The magnetic moment is 1.77 μB per cell.

It has space group C2/m (No. 12), with a = 9.5585 Å, b = 2.7391 Å, c = 5.6884 Å, α = 90.00°, β = 95.73° and γ = 90.00°. The asymmetric unit holds Li at (0.0000, 0.0000, 0.0000), Cd at (0.2478, 0.0000, 0.7515) and Mo at (0.0000, 0.5000, 0.5000).

Which structure is the most stable? The one labeled 2).

1) This record from the Alexandria database describes crystalline LiCdS2N at its relaxed geometry. The functional is GGA-PBE.

The magnetic moment is 2.72 μB per cell.

It has space group P4/mmm (No. 123), with a = 4.6720 Å, b = 4.6720 Å, c = 3.8950 Å, α = 90.00°, β = 90.00° and γ = 90.00°. The asymmetric unit holds Li at (0.0000, 0.0000, 0.0000), Cd at (0.5000, 0.5000, 0.5000), S at (0.0000, 0.5000, 0.0000) and N at (0.0000, 0.0000, 0.5000).

2) This record from the Alexandria database describes crystalline LiCdS2N at its relaxed geometry. The functional is GGA-PBE.

The magnetic moment is 2.64 μB per cell.

It has space group P4/mmm (No. 123), with a = 5.1072 Å, b = 5.1072 Å, c = 4.3186 Å, α = 90.00°, β = 90.00° and γ = 90.00°. The asymmetric unit holds Li at (0.0000, 0.0000, 0.0000), Cd at (0.5000, 0.5000, 0.5000), S at (0.0000, 0.5000, 0.5000) and N at (0.5000, 0.5000, 0.0000).

Which structure is the most stable? The one labeled 2).

1) This record from the Alexandria database describes crystalline LiCdTeN2 at its relaxed geometry. The functional is GGA-PBE.

The magnetic moment is 5.01 μB per cell.

It has space group P4/mmm (No. 123), with a = 4.2149 Å, b = 4.2149 Å, c = 5.6283 Å, α = 90.00°, β = 90.00° and γ = 90.00°. The asymmetric unit holds Li at (0.0000, 0.0000, 0.0000), Cd at (0.5000, 0.5000, 0.5000), Te at (0.0000, 0.0000, 0.5000) and N at (0.0000, 0.5000, 0.0000).

2) This record from the Alexandria database describes crystalline LiCdTeN2 at its relaxed geometry. The functional is GGA-PBE.

The magnetic moment is 4.27 μB per cell.

It has space group P4/mmm (No. 123), with a = 4.3773 Å, b = 4.3773 Å, c = 6.0992 Å, α = 90.00°, β = 90.00° and γ = 90.00°. The asymmetric unit holds Li at (0.0000, 0.0000, 0.0000), Cd at (0.5000, 0.5000, 0.5000), Te at (0.5000, 0.5000, 0.0000) and N at (0.0000, 0.5000, 0.5000).

Which structure is the most stable? The one labeled 2).

1) This record from the Alexandria database describes crystalline NaLiCd3 at its relaxed geometry. The functional is GGA-PBE.

The magnetic moment is 0.00 μB per cell.

It has space group Pm-3m (No. 221), with a = 5.0332 Å, b = 5.0332 Å, c = 5.0332 Å, α = 90.00°, β = 90.00° and γ = 90.00°. The asymmetric unit holds Na at (0.0000, 0.0000, 0.0000), Li at (0.5000, 0.5000, 0.5000) and Cd at (0.0000, 0.5000, 0.5000).

2) This record from the Alexandria database describes crystalline NaLiCd3 at its relaxed geometry. The functional is GGA-PBE.

The magnetic moment is 0.00 μB per cell.

It has space group P2_1/m (No. 11), with a = 5.7434 Å, b = 5.4712 Å, c = 7.6700 Å, α = 90.00°, β = 106.10° and γ = 90.00°. The asymmetric unit holds Na at (0.1385, 0.2500, 0.1127), Li at (0.2912, 0.7500, 0.7479), Cd at (0.0237, 0.2500, 0.6186), Cd at (0.4840, 0.7500, 0.1206) and Cd at (0.5000, 0.0000, 0.5000).

3) This record from the Alexandria database describes crystalline NaLiCd3 at its relaxed geometry. The functional is GGA-PBE.

The magnetic moment is 0.00 μB per cell.

It has space group C2/c (No. 15), with a = 13.6187 Å, b = 10.2537 Å, c = 8.5620 Å, α = 90.00°, β = 128.57° and γ = 90.00°. The asymmetric unit holds Na at (0.0000, 0.0029, 0.2500), Na at (0.0000, 0.4837, 0.2500), Li at (0.1485, 0.2426, 0.4911), Cd at (0.1004, 0.2478, 0.1168), Cd at (0.1354, 0.2574, 0.7952) and Cd at (0.2505, 0.0016, 0.7569).

4) This record from the Alexandria database describes crystalline NaLiCd3 at its relaxed geometry. The functional is GGA-PBE.

The magnetic moment is 0.00 μB per cell.

It has space group Pm-3m (No. 221), with a = 5.5334 Å, b = 5.5334 Å, c = 5.5334 Å, α = 90.00°, β = 90.00° and γ = 90.00°. The asymmetric unit holds Na at (0.0000, 0.0000, 0.0000), Li at (0.5000, 0.5000, 0.5000) and Cd at (0.0000, 0.0000, 0.5000).

Which structure is the most stable? The one labeled 2).

1) This record from the Alexandria database describes crystalline NaLiCd4 at its relaxed geometry. The functional is GGA-PBE.

The magnetic moment is 0.00 μB per cell.

It has space group F-43m (No. 216), with a = 8.3182 Å, b = 8.3182 Å, c = 8.3182 Å, α = 90.00°, β = 90.00° and γ = 90.00°. The asymmetric unit holds Na at (0.0000, 0.0000, 0.0000), Li at (0.2500, 0.2500, 0.7500) and Cd at (0.1247, 0.1247, 0.3753).

2) This record from the Alexandria database describes crystalline NaLiCd4 at its relaxed geometry. The functional is GGA-PBE.

The magnetic moment is 0.00 μB per cell.

It has space group Cmcm (No. 63), with a = 4.4648 Å, b = 17.2044 Å, c = 7.3009 Å, α = 90.00°, β = 90.00° and γ = 90.00°. The asymmetric unit holds Na at (0.0000, 0.1212, 0.2500), Li at (0.0000, 0.2299, 0.7500), Cd at (0.0000, 0.0683, 0.7500), Cd at (0.0000, 0.3224, 0.0461) and Cd at (0.0000, 0.5000, 0.0000).

3) This record from the Alexandria database describes crystalline NaLiCd4 at its relaxed geometry. The functional is GGA-PBE.

The magnetic moment is 0.00 μB per cell.

It has space group C2/m (No. 12), with a = 10.1709 Å, b = 3.1427 Å, c = 9.1492 Å, α = 90.00°, β = 116.08° and γ = 90.00°. The asymmetric unit holds Na at (0.0000, 0.0000, 0.0000), Li at (0.0000, 0.0000, 0.5000), Cd at (0.1653, 0.5000, 0.3445) and Cd at (0.1659, 0.5000, 0.8200).

Which structure is the most stable? The one labeled 3).

1) This record from the Alexandria database describes crystalline Na3LiCd4 at its relaxed geometry. The functional is GGA-PBE.

The magnetic moment is 0.00 μB per cell.

It has space group C2/m (No. 12), with a = 9.2834 Å, b = 5.0114 Å, c = 9.2760 Å, α = 90.00°, β = 114.79° and γ = 90.00°. The asymmetric unit holds Na at (0.0000, 0.0000, 0.0000), Na at (0.2466, 0.0000, 0.7561), Li at (0.0000, 0.5000, 0.5000), Cd at (0.1117, 0.5000, 0.8531) and Cd at (0.1347, 0.0000, 0.3903).

2) This record from the Alexandria database describes crystalline Na3LiCd4 at its relaxed geometry. The functional is GGA-PBE.

The magnetic moment is 0.00 μB per cell.

It has space group Imm2 (No. 44), with a = 6.1289 Å, b = 10.5409 Å, c = 6.2570 Å, α = 90.00°, β = 90.00° and γ = 90.00°. The asymmetric unit holds Na at (0.0000, 0.0000, 0.0000), Na at (0.0000, 0.2647, 0.7298), Li at (0.0000, 0.5000, 0.4201), Cd at (0.0000, 0.2603, 0.2369) and Cd at (0.2472, 0.0000, 0.4899).

Which structure is the most stable? The one labeled 1).

1) This record from the Alexandria database describes crystalline Na4LiCd at its relaxed geometry. The functional is GGA-PBE.

The magnetic moment is 0.00 μB per cell.

It has space group F-43m (No. 216), with a = 8.9974 Å, b = 8.9974 Å, c = 8.9974 Å, α = 90.00°, β = 90.00° and γ = 90.00°. The asymmetric unit holds Na at (0.1246, 0.1246, 0.1246), Li at (0.0000, 0.0000, 0.5000) and Cd at (0.2500, 0.2500, 0.7500).

2) This record from the Alexandria database describes crystalline Na4LiCd at its relaxed geometry. The functional is GGA-PBE.

The magnetic moment is 0.00 μB per cell.

It has space group C2/c (No. 15), with a = 9.2423 Å, b = 14.6492 Å, c = 5.8890 Å, α = 90.00°, β = 111.11° and γ = 90.00°. The asymmetric unit holds Na at (0.1184, 0.1900, 0.0787), Na at (0.1922, 0.4193, 0.3477), Li at (0.0000, 0.0068, 0.7500) and Cd at (0.0000, 0.3788, 0.7500).

Which structure is the most stable? The one labeled 2).

1) This record from the Alexandria database describes crystalline Na12LiCd7 at its relaxed geometry. The functional is GGA-PBE.

The magnetic moment is 0.00 μB per cell.

It has space group R-3 (No. 148, hexagonal axes), with a = 18.5231 Å, b = 18.5231 Å, c = 6.0774 Å, α = 90.00°, β = 90.00° and γ = 120.00°. The asymmetric unit holds Na at (0.0243, 0.5990, 0.0582), Na at (0.0957, 0.2172, 0.8791), Li at (0.0000, 0.0000, 0.5000), Cd at (0.0000, 0.0000, 0.0000) and Cd at (0.0507, 0.1646, 0.3788).

2) This record from the Alexandria database describes crystalline Na12LiCd7 at its relaxed geometry. The functional is GGA-PBE.

The magnetic moment is 0.00 μB per cell.

It has space group R-3 (No. 148, hexagonal axes), with a = 14.2306 Å, b = 14.2306 Å, c = 9.7814 Å, α = 90.00°, β = 90.00° and γ = 120.00°. The asymmetric unit holds Na at (0.0395, 0.7897, 0.4254), Na at (0.0685, 0.2607, 0.9556), Li at (0.0000, 0.0000, 0.5000), Cd at (0.0000, 0.0000, 0.0000) and Cd at (0.0057, 0.8734, 0.7416).

Which structure is the most stable? The one labeled 2).